SrCaZr2 | the Alexandria database | SCAN | PBEsol geometry; total DFT energy (no corrections) = -23.02 eV per atom; energy relative to the lowest polymorph listed for this composition = 0.00 kcal/mol of atoms; energy of formation = 0.32 eV per atom
1.0
3.506 0.000 0.000
0.000 4.088 0.000
0.000 0.000 8.725
Sr Ca Zr
1 1 2
Cartesian
0.000 0.000 0.000
1.753 2.044 3.014
0.000 0.000 5.158
1.753 2.044 6.377


SrCaZr4 | the Alexandria database | SCAN | PBEsol geometry; total DFT energy (no corrections) = -25.30 eV per atom; energy of formation = 0.49 eV per atom
1.0
0.000 4.347 4.347
4.347 0.000 4.347
4.347 4.347 0.000
Sr Ca Zr
1 1 4
Cartesian
0.000 0.000 0.000
2.173 2.173 2.173
5.422 3.271 3.271
3.271 5.422 3.271
3.271 3.271 5.422
5.422 5.422 5.422


SrCaZr2 | the Alexandria database | SCAN | PBEsol geometry; total DFT energy (no corrections) = -22.70 eV per atom; energy relative to the lowest polymorph listed for this composition = 7.36 kcal/mol of atoms; energy of formation = 0.64 eV per atom
1.0
5.010 0.000 0.000
0.000 5.010 0.000
0.000 0.000 9.003
Sr Ca Zr
2 2 4
Cartesian
0.000 0.000 0.000
2.505 2.505 4.502
0.000 2.505 6.753
2.505 0.000 2.251
0.000 0.000 4.502
0.000 2.505 2.251
2.505 0.000 6.753
2.505 2.505 0.000


SrCaZr | the Alexandria database | SCAN | PBEsol geometry; total DFT energy (no corrections) = -19.84 eV per atom; energy relative to the lowest polymorph listed for this composition = 12.81 kcal/mol of atoms; energy of formation = 1.04 eV per atom
1.0
7.995 0.000 0.000
0.000 7.995 0.000
0.000 0.000 7.995
Sr Ca Zr
4 4 4
Cartesian
0.000 0.000 0.000
0.000 3.997 3.997
3.997 0.000 3.997
3.997 3.997 0.000
0.000 0.000 3.997
0.000 3.997 0.000
3.997 0.000 0.000
3.997 3.997 3.997
1.999 1.999 1.999
1.999 5.996 5.996
5.996 1.999 5.996
5.996 5.996 1.999